A plane-wave DFT calculation with PBE was carried out for an optimized crystal structure of Ho3CuBi.

Properties
Energy relative to the elements   -0.32 eV/atom
Electronic total energy   -4.66 eV/atom
M_tot   0.000 μB per atom
Crystal system   orthorhombic

abc: 6.3740 5.2424 8.3396
angles: 90.00 90.00 90.00
Closest atoms and distances in Å follow each position.
Sites, in units of the cell vectors:
Ho1 0.0000 0.0000 0.0000  2 Cu 2.93, 2 Ho 3.19
Ho2 0.2500 0.0000 0.3778  1 Cu 2.74
Ho3 0.2500 0.5000 0.7293  2 Cu 2.63
Ho4 0.5000 0.0000 0.0000  2 Cu 2.93, 2 Ho 3.19
Ho5 0.7500 0.0000 0.6222  1 Cu 2.74
Ho6 0.7500 0.5000 0.2707  2 Cu 2.63
Cu1 0.2500 0.0000 0.7058  5 Ho 2.63-2.93
Cu2 0.7500 0.0000 0.2942  5 Ho 2.63-2.93
Bi1 0.2500 0.5000 0.1493  9 Ho 3.24-3.50
Bi2 0.7500 0.5000 0.8507  9 Ho 3.24-3.50


A plane-wave DFT calculation with PBE was carried out for an optimized crystal structure of Ho6CuBi2.

Properties
Energy relative to the elements   -0.36 eV/atom
Electronic total energy   -4.73 eV/atom
M_tot   0.000 μB per atom
Crystal system   monoclinic

abc: 6.3998 7.9806 11.9686
angles: 90.00 122.02 90.00
Closest atoms and distances in Å follow each position.
Sites, in units of the cell vectors:
Ho1 0.0885 0.1999 0.4605  1 Cu 2.90, 2 Bi 3.16-3.24
Ho2 0.0885 0.3001 0.9605  1 Cu 2.90, 2 Bi 3.16-3.24
Ho3 0.3309 0.6719 0.4618  1 Cu 2.78
Ho4 0.3309 0.8281 0.9618  1 Cu 2.78
Ho5 0.3832 0.0286 0.2442  1 Cu 2.75
Ho6 0.3832 0.4714 0.7442  1 Cu 2.75
Ho7 0.6168 0.5286 0.2558  1 Cu 2.75
Ho8 0.6168 0.9714 0.7558  1 Cu 2.75
Ho9 0.6691 0.1719 0.0382  1 Cu 2.78
Ho10 0.6691 0.3281 0.5382  1 Cu 2.78
Ho11 0.9115 0.6999 0.0395  1 Cu 2.90, 2 Bi 3.16-3.24
Ho12 0.9115 0.8001 0.5395  1 Cu 2.90, 2 Bi 3.16-3.24
Cu1 0.5000 0.0000 0.5000  6 Ho 2.75-2.90
Cu2 0.5000 0.5000 0.0000  6 Ho 2.75-2.90
Bi1 0.1357 0.1132 0.7420  8 Ho 3.16-3.41
Bi2 0.1357 0.3868 0.2420  8 Ho 3.16-3.41
Bi3 0.8643 0.6132 0.7580  8 Ho 3.16-3.41
Bi4 0.8643 0.8868 0.2580  8 Ho 3.16-3.41


A plane-wave DFT calculation with PBE was carried out for an optimized crystal structure of HoCuBi2.

Properties
Energy relative to the elements   -0.04 eV/atom
Electronic total energy   -4.15 eV/atom
M_tot   0.000 μB per atom
Crystal system   trigonal

abc: 4.4239 4.4239 19.2407
angles: 90.00 90.00 120.00
Closest atoms and distances in Å follow each position.
Sites, in units of the cell vectors:
Ho1 0.0000 0.0000 0.0000  6 Bi 3.16
Ho2 0.3333 0.6667 0.6667  6 Bi 3.16
Ho3 0.6667 0.3333 0.3333  6 Bi 3.16
Cu1 0.0000 0.0000 0.5000  6 Bi 2.89
Cu2 0.3333 0.6667 0.1667  6 Bi 2.89
Cu3 0.6667 0.3333 0.8333  6 Bi 2.89
Bi1 0.0000 0.0000 0.2367  3 Cu 2.89, 3 Ho 3.16
Bi2 0.0000 0.0000 0.7633  3 Cu 2.89, 3 Ho 3.16
Bi3 0.3333 0.6667 0.4300  3 Cu 2.89, 3 Ho 3.16
Bi4 0.3333 0.6667 0.9033  3 Cu 2.89, 3 Ho 3.16
Bi5 0.6667 0.3333 0.0967  3 Cu 2.89, 3 Ho 3.16
Bi6 0.6667 0.3333 0.5700  3 Cu 2.89, 3 Ho 3.16


A plane-wave DFT calculation with PBE was carried out for an optimized crystal structure of Ho6CuBi.

Properties
Energy relative to the elements   0.04 eV/atom
Electronic total energy   -4.39 eV/atom
M_tot   0.004 μB per atom
Crystal system   triclinic

abc: 6.8460 6.8715 7.4625
angles: 90.43 116.92 119.63
Closest atoms and distances in Å follow each position.
Sites, in units of the cell vectors:
Ho1 0.0403 0.0764 0.2664  1 Cu 2.70
Ho2 0.3011 0.7253 0.2655  1 Cu 2.70
Ho3 0.3062 0.5329 0.7349  1 Cu 2.70
Ho4 0.6938 0.4671 0.2651  1 Cu 2.70
Ho5 0.6989 0.2747 0.7345  1 Cu 2.70
Ho6 0.9597 0.9236 0.7336  1 Cu 2.70
Cu1 0.5000 0.5000 0.5000  6 Ho 2.70
Bi1 0.5000 0.0000 0.0000  6 Ho 3.05


A plane-wave DFT calculation with PBE was carried out for an optimized crystal structure of Ho5CuBi4.

Properties
Energy relative to the elements   -0.58 eV/atom
Electronic total energy   -4.83 eV/atom
M_tot   0.002 μB per atom
Crystal system   tetragonal

abc: 7.6026 7.6026 7.6026
angles: 99.66 99.66 131.64
Closest atoms and distances in Å follow each position.
Sites, in units of the cell vectors:
Ho1 0.0000 0.0000 0.0000  4 Bi 3.11, 2 Cu 3.11
Ho2 0.2103 0.6019 0.8122  1 Cu 3.01, 5 Bi 3.12-3.15
Ho3 0.3981 0.2103 0.6084  1 Cu 3.01, 5 Bi 3.12-3.15
Ho4 0.6019 0.7897 0.3916  1 Cu 3.01, 5 Bi 3.12-3.15
Ho5 0.7897 0.3981 0.1878  1 Cu 3.01, 5 Bi 3.12-3.15
Cu1 0.5000 0.5000 0.0000  6 Ho 3.01-3.11
Bi1 0.0940 0.3025 0.3965  6 Ho 3.11-3.15
Bi2 0.3025 0.9060 0.2085  6 Ho 3.11-3.15
Bi3 0.6975 0.0940 0.7915  6 Ho 3.11-3.15
Bi4 0.9060 0.6975 0.6035  6 Ho 3.11-3.15


A plane-wave DFT calculation with PBE was carried out for an optimized crystal structure of Sr2HoCu2Bi2O8.

Properties
Electronic total energy   -6.03 eV/atom
M_tot   0.000 μB per atom
Formation energy from raw total energies   -1789 meV/atom
Crystal system   tetragonal

abc: 15.5874 15.5874 15.5874
angles: 166.05 166.05 19.78
Closest atoms and distances in Å follow each position.
Sites, in units of the cell vectors:
Sr1 0.1137 0.1137 0.0000  9 O 2.67-2.77
Sr2 0.8863 0.8863 0.0000  9 O 2.67-2.77
Ho1 0.0000 0.0000 0.0000  8 O 2.39
Cu1 0.4484 0.4484 0.0000  4 O 1.90
Cu2 0.5516 0.5516 0.0000  4 O 1.90
Bi1 0.2972 0.2972 0.0000  1 O 2.13
Bi2 0.7028 0.7028 0.0000  1 O 2.13
O1 0.0477 0.5477 0.5000  2 Cu 1.90
O2 0.2005 0.2005 0.0000  1 Sr 2.67, 5 Bi 2.68-2.97
O3 0.3665 0.3665 0.0000  1 Bi 2.13
O4 0.4523 0.9523 0.5000  2 Cu 1.90
O5 0.5477 0.0477 0.5000  2 Cu 1.90
O6 0.6335 0.6335 0.0000  1 Bi 2.13
O7 0.7995 0.7995 0.0000  1 Sr 2.67, 5 Bi 2.68-2.97
O8 0.9523 0.4523 0.5000  2 Cu 1.90


A plane-wave DFT calculation with PBE was carried out for an optimized crystal structure of HoCuBiRh.

Properties
Energy relative to the elements   -0.39 eV/atom
Electronic total energy   -5.37 eV/atom
M_tot   0.000 μB per atom
Crystal system   cubic

abc: 6.8023 6.8023 6.8023
angles: 90.00 90.00 90.00
Closest atoms and distances in Å follow each position.
Sites, in units of the cell vectors:
Ho1 0.0000 0.0000 0.0000  4 Rh 2.95, 4 Cu 2.95
Ho2 0.0000 0.5000 0.5000  4 Cu 2.95, 4 Rh 2.95
Ho3 0.5000 0.0000 0.5000  4 Cu 2.95, 4 Rh 2.95
Ho4 0.5000 0.5000 0.0000  4 Cu 2.95, 4 Rh 2.95
Cu1 0.2500 0.2500 0.7500  4 Ho 2.95, 4 Bi 2.95
Cu2 0.2500 0.7500 0.2500  4 Ho 2.95, 4 Bi 2.95
Cu3 0.7500 0.2500 0.2500  4 Ho 2.95, 4 Bi 2.95
Cu4 0.7500 0.7500 0.7500  4 Ho 2.95, 4 Bi 2.95
Bi1 0.0000 0.0000 0.5000  4 Cu 2.95, 4 Rh 2.95
Bi2 0.0000 0.5000 0.0000  4 Cu 2.95, 4 Rh 2.95
Bi3 0.5000 0.0000 0.0000  4 Cu 2.95, 4 Rh 2.95
Bi4 0.5000 0.5000 0.5000  4 Cu 2.95, 4 Rh 2.95
Rh1 0.2500 0.2500 0.2500  4 Bi 2.95, 4 Ho 2.95
Rh2 0.2500 0.7500 0.7500  4 Bi 2.95, 4 Ho 2.95
Rh3 0.7500 0.2500 0.7500  4 Bi 2.95, 4 Ho 2.95
Rh4 0.7500 0.7500 0.2500  4 Bi 2.95, 4 Ho 2.95


A plane-wave DFT calculation with PBE was carried out for an optimized crystal structure of CuBiI.

Properties
Electronic total energy   -3.17 eV/atom
M_tot   0.000 μB per atom
Formation energy from raw total energies   4 meV/atom
Crystal system   triclinic

abc: 4.0100 4.4161 11.7815
angles: 90.13 99.76 90.02
Closest atoms and distances in Å follow each position.
Sites, in units of the cell vectors:
Cu1 0.1204 0.2519 0.2439  2 I 2.55, 2 Bi 2.69
Cu2 0.8796 0.7481 0.7561  2 I 2.55, 2 Bi 2.69
Bi1 0.4566 0.7494 0.9108  2 Cu 2.69
Bi2 0.5434 0.2506 0.0892  2 Cu 2.69
I1 0.1752 0.7524 0.3531  2 Cu 2.55
I2 0.8248 0.2476 0.6469  2 Cu 2.55


A plane-wave DFT calculation with PBE was carried out for an optimized crystal structure of Cu2Bi2I.

Properties
Electronic total energy   -3.20 eV/atom
M_tot   0.000 μB per atom
Formation energy from raw total energies   302 meV/atom
Crystal system   tetragonal

abc: 7.9181 7.9181 4.1835
angles: 90.00 90.00 90.00
Closest atoms and distances in Å follow each position.
Sites, in units of the cell vectors:
Cu1 0.1108 0.3892 0.0000  1 Cu 2.48
Cu2 0.3892 0.8892 0.0000  1 Cu 2.48
Cu3 0.6108 0.1108 0.0000  1 Cu 2.48
Cu4 0.8892 0.6108 0.0000  1 Cu 2.48
Bi1 0.1362 0.6362 0.5000  4 Cu 2.87, 1 Bi 3.05
Bi2 0.3638 0.1362 0.5000  4 Cu 2.87, 1 Bi 3.05
Bi3 0.6362 0.8638 0.5000  4 Cu 2.87, 1 Bi 3.05
Bi4 0.8638 0.3638 0.5000  4 Cu 2.87, 1 Bi 3.05
I1 0.0000 0.0000 0.0000  4 Cu 3.20
I2 0.5000 0.5000 0.0000  4 Cu 3.20


A plane-wave DFT calculation with PBE was carried out for an optimized crystal structure of CuBiI4.

Properties
Electronic total energy   -2.66 eV/atom
M_tot   0.000 μB per atom
Formation energy from raw total energies   -293 meV/atom
Crystal system   monoclinic

abc: 11.2863 11.2863 7.0517
angles: 103.96 103.96 133.77
Closest atoms and distances in Å follow each position.
Sites, in units of the cell vectors:
Cu1 0.1286 0.8714 0.7500  2 I 2.54
Cu2 0.8714 0.1286 0.2500  2 I 2.54
Bi1 0.3175 0.6825 0.2500  6 I 3.06-3.24
Bi2 0.6825 0.3175 0.7500  6 I 3.06-3.24
I1 0.0062 0.4020 0.6924  1 Cu 2.85, 1 Bi 3.12
I2 0.1973 0.3522 0.2822  1 Cu 2.54
I3 0.3522 0.1973 0.7822  1 Cu 2.54
I4 0.4020 0.0062 0.1924  1 Cu 2.85, 1 Bi 3.12
I5 0.5980 0.9938 0.8076  1 Cu 2.85, 1 Bi 3.12
I6 0.6478 0.8027 0.2178  1 Cu 2.54
I7 0.8027 0.6478 0.7178  1 Cu 2.54
I8 0.9938 0.5980 0.3076  1 Cu 2.85, 1 Bi 3.12


Copy entry 1 word for word.
A plane-wave DFT calculation with PBE was carried out for an optimized crystal structure of Ho3CuBi.

Properties
Energy relative to the elements   -0.32 eV/atom
Electronic total energy   -4.66 eV/atom
M_tot   0.000 μB per atom
Crystal system   orthorhombic

abc: 6.3740 5.2424 8.3396
angles: 90.00 90.00 90.00
Closest atoms and distances in Å follow each position.
Sites, in units of the cell vectors:
Ho1 0.0000 0.0000 0.0000  2 Cu 2.93, 2 Ho 3.19
Ho2 0.2500 0.0000 0.3778  1 Cu 2.74
Ho3 0.2500 0.5000 0.7293  2 Cu 2.63
Ho4 0.5000 0.0000 0.0000  2 Cu 2.93, 2 Ho 3.19
Ho5 0.7500 0.0000 0.6222  1 Cu 2.74
Ho6 0.7500 0.5000 0.2707  2 Cu 2.63
Cu1 0.2500 0.0000 0.7058  5 Ho 2.63-2.93
Cu2 0.7500 0.0000 0.2942  5 Ho 2.63-2.93
Bi1 0.2500 0.5000 0.1493  9 Ho 3.24-3.50
Bi2 0.7500 0.5000 0.8507  9 Ho 3.24-3.50